1.
Computed, not measured: a relaxed structure of Ga2CoOs at the PBE-GGA level of DFT.

Results
- E_tot: -24.727 eV per cell
- Magnetization: 0.00 Bohr magnetons per cell

Lattice parameters (Å, degrees): 4.1691 4.1691 3.0437 90.00 90.00 90.00
With the nearest neighbours (Å) after each atom.
Space group P4/mmm (No. 123)
One atom of each set of equivalent atoms:
Ga: 0.0000 0.5000 0.0000 x2  4 Os 2.58, 4 Co 2.58
Co: 0.0000 0.0000 0.5000 x1  8 Ga 2.58
Os: 0.5000 0.5000 0.5000 x1  8 Ga 2.58

=====

2.
Computed, not measured: a relaxed structure of GaCoOs3 at the PBE-GGA level of DFT.

Results
- Energy above the most stable polymorph in this dataset: 470 meV/atom
- E_tot: -32.539 eV per cell
- Magnetization: 0.00 Bohr magnetons per cell

Lattice parameters (Å, degrees): 4.4442 4.4442 4.4442 90.00 90.00 90.00
With the nearest neighbours (Å) after each atom.
Space group Pm-3m (No. 221)
One atom of each set of equivalent atoms:
Ga: 0.0000 0.0000 0.0000 x1  6 Os 2.22
Co: 0.5000 0.5000 0.5000 x1  12 Os 3.14
Os: 0.0000 0.0000 0.5000 x3  2 Ga 2.22

=====

3.
Computed, not measured: a relaxed structure of GaCo2Os at the PBE-GGA level of DFT.

Results
- E_tot: -84.790 eV per cell
- Magnetization: 3.56 Bohr magnetons per cell

Lattice parameters (Å, degrees): 2.6693 2.6693 24.3665 90.00 90.00 120.00
With the nearest neighbours (Å) after each atom.
Space group R-3m (No. 166, hexagonal axes)
One atom of each set of equivalent atoms:
Ga: 0.0000 0.0000 0.0000 x3  6 Co 2.53, 6 Ga 2.67
Co: 0.0000 0.0000 0.2511 x6  3 Ga 2.53, 3 Os 2.57, 6 Co 2.67
Os: 0.0000 0.0000 0.5000 x3  6 Co 2.57, 6 Os 2.67

=====

4.
Computed, not measured: a relaxed structure of Ga3CoOs at the PBE-GGA level of DFT.

Results
- Energy above the most stable polymorph in this dataset: 0 meV/atom
- E_tot: -24.064 eV per cell
- Magnetization: 2.68 Bohr magnetons per cell

Lattice parameters (Å, degrees): 4.7669 4.7669 4.7669 90.00 90.00 90.00
With the nearest neighbours (Å) after each atom.
Space group Pm-3m (No. 221)
One atom of each set of equivalent atoms:
Ga: 0.0000 0.0000 0.5000 x3  2 Os 2.38
Co: 0.5000 0.5000 0.5000 x1  12 Ga 3.37
Os: 0.0000 0.0000 0.0000 x1  6 Ga 2.38

=====

5.
Computed, not measured: a relaxed structure of GaCo3Os at the PBE-GGA level of DFT.

Results
- Energy above the most stable polymorph in this dataset: 13 meV/atom
- E_tot: -28.601 eV per cell
- Magnetization: 3.30 Bohr magnetons per cell

Lattice parameters (Å, degrees): 4.4836 4.4836 4.4836 90.00 90.00 90.00
With the nearest neighbours (Å) after each atom.
Space group Pm-3m (No. 221)
One atom of each set of equivalent atoms:
Ga: 0.0000 0.0000 0.0000 x1  12 Co 3.17
Co: 0.0000 0.5000 0.5000 x3  2 Os 2.24
Os: 0.5000 0.5000 0.5000 x1  6 Co 2.24

=====

6.
Computed, not measured: a relaxed structure of PaGaCoOs at the PBE-GGA level of DFT.

Results
- E_tot: -126.415 eV per cell
- Magnetization: 3.56 Bohr magnetons per cell

Lattice parameters (Å, degrees): 6.4767 6.4767 6.4767 90.00 90.00 90.00
With the nearest neighbours (Å) after each atom.
Space group F-43m (No. 216)
One atom of each set of equivalent atoms:
Pa: 0.0000 0.0000 0.0000 x4  4 Os 2.80, 4 Co 2.80
Ga: 0.0000 0.0000 0.5000 x4  4 Co 2.80, 4 Os 2.80
Co: 0.2500 0.2500 0.7500 x4  4 Pa 2.80, 4 Ga 2.80
Os: 0.2500 0.2500 0.2500 x4  4 Pa 2.80, 4 Ga 2.80

=====

7.
Computed, not measured: a relaxed structure of GaCoOs2Pb at the PBE-GGA level of DFT.

Results
- E_tot: -28.854 eV per cell
- Magnetization: 0.00 Bohr magnetons per cell

Lattice parameters (Å, degrees): 4.5259 4.5259 4.8136 90.00 90.00 90.00
With the nearest neighbours (Å) after each atom.
Space group P4/mmm (No. 123)
One atom of each set of equivalent atoms:
Ga: 0.0000 0.0000 0.0000 x1  4 Pb 3.20, 8 Os 3.30
Co: 0.5000 0.5000 0.5000 x1  4 Os 2.26, 2 Pb 2.41
Os: 0.0000 0.5000 0.5000 x2  2 Co 2.26
Pb: 0.5000 0.5000 0.0000 x1  2 Co 2.41

=====

8.
Computed, not measured: a relaxed structure of GaCoOsPd2 at the PBE-GGA level of DFT.

Results
- E_tot: -25.634 eV per cell
- Magnetization: 1.08 Bohr magnetons per cell

Lattice parameters (Å, degrees): 4.8883 4.8883 4.3925 90.00 90.00 90.00
With the nearest neighbours (Å) after each atom.
Space group P4/mmm (No. 123)
One atom of each set of equivalent atoms:
Ga: 0.0000 0.0000 0.0000 x1  8 Pd 3.29, 4 Co 3.46
Co: 0.5000 0.5000 0.0000 x1  2 Os 2.20
Os: 0.5000 0.5000 0.5000 x1  2 Co 2.20, 4 Pd 2.44
Pd: 0.0000 0.5000 0.5000 x2  2 Os 2.44

=====

9.
Computed, not measured: a relaxed structure of ScGa4Co2Os at the PBE-GGA level of DFT.

Results
- E_tot: -136.358 eV per cell
- Magnetization: 0.00 Bohr magnetons per cell

Lattice parameters (Å, degrees): 4.3029 4.3029 21.2072 90.00 90.00 120.00
With the nearest neighbours (Å) after each atom.
Space group R-3m (No. 166, hexagonal axes)
One atom of each set of equivalent atoms:
Sc: 0.0000 0.0000 0.0000 x3  8 Ga 2.68-2.81, 6 Co 3.00
Ga: 0.0000 0.0000 0.1327 x6  4 Co 2.58-2.73, 3 Os 2.59, 1 Sc 2.81, 3 Ga 2.87
Ga: 0.0000 0.0000 0.3811 x6  1 Os 2.52, 4 Co 2.57-2.69, 3 Sc 2.68
Co: 0.0000 0.0000 0.2544 x6  8 Ga 2.57-2.73
Os: 0.0000 0.0000 0.5000 x3  8 Ga 2.52-2.59

=====

10.
Computed, not measured: a relaxed structure of ThGa3CoOs at the PBE-GGA level of DFT.

Results
- E_tot: -143.713 eV per cell
- Magnetization: 0.00 Bohr magnetons per cell

Lattice parameters (Å, degrees): 7.6144 10.4109 5.7285 90.00 90.00 90.00
With the nearest neighbours (Å) after each atom.
Space group Cmcm (No. 63)
One atom of each set of equivalent atoms:
Th: 0.0000 0.2132 0.2500 x4  1 Co 2.47
Ga: 0.0000 0.3239 0.7500 x4  1 Co 2.35, 1 Os 2.45
Ga: 0.2481 0.5000 0.0000 x8  2 Co 2.43, 2 Os 2.57
Co: 0.0000 0.4504 0.2500 x4  5 Ga 2.35-2.43, 1 Th 2.47
Os: 0.0000 0.0885 0.7500 x4  5 Ga 2.45-2.57

=====

11.
Computed, not measured: a relaxed structure of TlGa2CoOs at the PBE-GGA level of DFT.

Results
- E_tot: -22.522 eV per cell
- Magnetization: 2.71 Bohr magnetons per cell

Lattice parameters (Å, degrees): 4.7800 4.7800 5.2771 90.00 90.00 90.00
With the nearest neighbours (Å) after each atom.
Space group P4/mmm (No. 123)
One atom of each set of equivalent atoms:
Tl: 0.0000 0.0000 0.0000 x1  2 Os 2.64
Ga: 0.0000 0.5000 0.5000 x2  2 Os 2.39
Co: 0.5000 0.5000 0.0000 x1  4 Tl 3.38, 8 Ga 3.56
Os: 0.0000 0.0000 0.5000 x1  4 Ga 2.39, 2 Tl 2.64

=====

12.
Computed, not measured: a relaxed structure of UGaCoOs at the PBE-GGA level of DFT.

Results
- E_tot: -131.714 eV per cell
- Magnetization: 2.94 Bohr magnetons per cell

Lattice parameters (Å, degrees): 6.4024 6.4024 6.4024 90.00 90.00 90.00
With the nearest neighbours (Å) after each atom.
Space group F-43m (No. 216)
One atom of each set of equivalent atoms:
U: 0.0000 0.0000 0.0000 x4  4 Os 2.77, 4 Co 2.77
Ga: 0.0000 0.0000 0.5000 x4  4 Co 2.77, 4 Os 2.77
Co: 0.2500 0.2500 0.7500 x4  4 U 2.77, 4 Ga 2.77
Os: 0.2500 0.2500 0.2500 x4  4 Ga 2.77, 4 U 2.77

=====

Number 1: DOS at the Fermi energy 0.746 states/eV/atom, ΔE_f -33 kJ/mol of formula units. Number 2: DOS at the Fermi energy 1.414 states/eV/atom, ΔE_f 1089 kJ/mol of formula units. Number 3: DOS at the Fermi energy 1.159 states/eV/atom, ΔE_f 20 kJ/mol of formula units. Number 4: DOS at the Fermi energy 2.811 states/eV/atom, ΔE_f 323 kJ/mol of formula units. Number 5: DOS at the Fermi energy 1.679 states/eV/atom, ΔE_f 673 kJ/mol of formula units. Number 6: DOS at the Fermi energy 0.929 states/eV/atom, ΔE_f -72 kJ/mol of formula units. Number 7: DOS at the Fermi energy 1.314 states/eV/atom, ΔE_f 718 kJ/mol of formula units. Number 8: DOS at the Fermi energy 1.593 states/eV/atom, ΔE_f 590 kJ/mol of formula units. Number 9: DOS at the Fermi energy 0.351 states/eV/atom, ΔE_f -152 kJ/mol of formula units. Number 10: DOS at the Fermi energy 0.497 states/eV/atom, ΔE_f -105 kJ/mol of formula units. Number 11: DOS at the Fermi energy 2.795 states/eV/atom, ΔE_f 409 kJ/mol of formula units. Number 12: DOS at the Fermi energy 1.419 states/eV/atom, ΔE_f -27 kJ/mol of formula units.